The following is a PBE-GGA calculation of PmPr4HoTm2 after structural relaxation, from the Alexandria database.

a = 5.177 Å, b = 5.152 Å, c = 11.329 Å
α = 62.97°, β = 90.00°, γ = 90.00°
Sites, in units of the cell vectors:
Pr: 0.000 0.252 0.248
Pr: 0.500 0.751 0.248
Pr: 0.000 0.748 0.752
Pr: 0.500 0.249 0.752
Ho: 0.500 0.500 0.000
Tm: 0.500 0.000 0.500
Tm: 0.000 0.000 0.000
Pm: 0.000 0.500 0.500

Fermi-level density of states (states/eV per atom): 1.3075
Spin magnetization (μB per formula unit): 0.0
DFT formation energy (eV per formula unit): 0.1


The following is a PBE-GGA calculation of Pm2PrHoTm5 after structural relaxation, from the Alexandria database.

a = 8.721 Å, b = 8.721 Å, c = 9.788 Å
α = 116.45°, β = 116.45°, γ = 90.00°
Sites, in units of the cell vectors:
Ho: 0.250 0.750 0.500
Tm: 0.573 0.654 0.727
Pm: 0.884 0.616 0.000
Tm: 0.427 0.346 0.273
Pm: 0.384 0.884 0.000
Pr: 0.750 0.750 0.500
Tm: 0.154 0.073 0.727
Pm: 0.616 0.116 0.000
Ho: 0.750 0.250 0.500
Tm: 0.927 0.427 0.273
Tm: 0.346 0.846 0.273
Pm: 0.116 0.384 0.000
Tm: 0.073 0.573 0.727
Tm: 0.000 0.000 0.000
Pr: 0.250 0.250 0.500
Tm: 0.846 0.927 0.273
Tm: 0.654 0.154 0.727
Tm: 0.500 0.500 0.000

Fermi-level density of states (states/eV per atom): 1.0998
Spin magnetization (μB per formula unit): 0.0
DFT formation energy (eV per formula unit): 2.4


The following is a PBE-GGA calculation of Pm6Pr2Ho3Tm after structural relaxation, from the Alexandria database.

a = 6.267 Å, b = 6.267 Å, c = 11.959 Å
α = 95.01°, β = 95.01°, γ = 119.99°
Sites, in units of the cell vectors:
Tm: 0.000 0.000 0.000
Pm: 0.753 0.753 0.254
Ho: 0.500 0.500 0.500
Pm: 0.084 0.416 0.253
Pr: 0.333 0.667 0.000
Ho: 0.834 0.166 0.500
Ho: 0.166 0.834 0.500
Pm: 0.247 0.247 0.746
Pr: 0.667 0.333 0.000
Pm: 0.916 0.584 0.747
Pm: 0.584 0.916 0.747
Pm: 0.416 0.084 0.253

Fermi-level density of states (states/eV per atom): 1.2776
Spin magnetization (μB per formula unit): 0.0
DFT formation energy (eV per formula unit): 0.2


The following is a PBE-GGA calculation of Pm4PrHoTm2 after structural relaxation, from the Alexandria database.

a = 9.545 Å, b = 9.545 Å, c = 11.870 Å
α = 128.44°, β = 128.44°, γ = 88.23°
Sites, in units of the cell vectors:
Tm: 0.500 0.500 0.000
Ho: 0.000 0.000 0.000
Pm: 0.748 0.251 0.000
Pm: 0.249 0.241 0.496
Tm: 0.500 0.000 0.500
Pm: 0.741 0.749 0.996
Tm: 0.000 0.000 0.500
Pm: 0.259 0.251 0.004
Pm: 0.252 0.749 0.000
Pm: 0.249 0.752 0.500
Tm: 0.500 0.000 0.000
Pm: 0.751 0.759 0.504
Ho: 0.500 0.500 0.500
Pr: 0.000 0.500 0.500
Pm: 0.751 0.248 0.500
Pr: 0.000 0.500 0.000

Fermi-level density of states (states/eV per atom): 2.3441
Spin magnetization (μB per formula unit): 0.0
DFT formation energy (eV per formula unit): 3.2


The following is a PBE-GGA calculation of PmPr2Ho2Tm after structural relaxation, from the Alexandria database.

a = 5.693 Å, b = 7.025 Å, c = 9.906 Å
α = 90.00°, β = 90.00°, γ = 90.00°
Sites, in units of the cell vectors:
Ho: 0.500 0.758 0.666
Pr: 0.000 0.758 0.829
Pr: 0.500 0.507 0.000
Pm: 0.000 0.508 0.500
Pr: 0.500 0.007 0.000
Tm: 0.500 0.758 0.337
Pm: 0.000 0.008 0.500
Tm: 0.500 0.258 0.663
Pr: 0.000 0.258 0.171
Ho: 0.500 0.258 0.334
Ho: 0.000 0.257 0.834
Ho: 0.000 0.757 0.166

Fermi-level density of states (states/eV per atom): 1.4746
Spin magnetization (μB per formula unit): 0.0
DFT formation energy (eV per formula unit): 0.4


The following is a PBE-GGA calculation of PmPr4Ho2Tm after structural relaxation, from the Alexandria database.

a = 5.182 Å, b = 5.154 Å, c = 11.357 Å
α = 63.00°, β = 90.00°, γ = 90.00°
Sites, in units of the cell vectors:
Pr: 0.000 0.753 0.748
Pr: 0.500 0.253 0.747
Pr: 0.500 0.747 0.253
Pm: 0.500 0.500 0.000
Ho: 0.500 0.000 0.500
Tm: 0.000 0.500 0.500
Pr: 0.000 0.247 0.252
Ho: 0.000 0.000 0.000

Fermi-level density of states (states/eV per atom): 1.3147
Spin magnetization (μB per formula unit): 0.0
DFT formation energy (eV per formula unit): 0.1


The following is a PBE-GGA calculation of Pm2Pr2Ho4Tm after structural relaxation, from the Alexandria database.

a = 3.623 Å, b = 9.571 Å, c = 9.637 Å
α = 115.24°, β = 90.00°, γ = 100.91°
Sites, in units of the cell vectors:
Tm: 0.000 0.000 0.000
Ho: 0.185 0.369 0.336
Ho: 0.815 0.631 0.664
Ho: 0.481 0.961 0.669
Pm: 0.853 0.706 0.338
Ho: 0.519 0.039 0.331
Pm: 0.147 0.294 0.662
Pr: 0.664 0.329 0.001
Pr: 0.336 0.671 0.999

Fermi-level density of states (states/eV per atom): 1.3792
Spin magnetization (μB per formula unit): 0.0
DFT formation energy (eV per formula unit): 0.1


The following is a PBE-GGA calculation of Pm5PrHoTm2 after structural relaxation, from the Alexandria database.

a = 5.680 Å, b = 10.537 Å, c = 10.602 Å
α = 90.00°, β = 90.00°, γ = 105.64°
Sites, in units of the cell vectors:
Tm: 0.116 0.231 0.318
Pm: 0.983 0.966 0.521
Pm: 0.386 0.772 0.024
Pr: 0.413 0.826 0.452
Tm: 0.884 0.769 0.818
Pm: 0.298 0.595 0.708
Pm: 0.280 0.560 0.314
Pm: 0.521 0.042 0.240
Pm: 0.614 0.228 0.524
Pr: 0.587 0.174 0.952
Tm: 0.887 0.773 0.235
Ho: 0.199 0.397 0.012
Pm: 0.702 0.405 0.208
Ho: 0.801 0.603 0.512
Pm: 0.479 0.958 0.740
Tm: 0.113 0.227 0.735
Pm: 0.720 0.440 0.814
Pm: 0.017 0.034 0.021

Fermi-level density of states (states/eV per atom): 1.5960
Spin magnetization (μB per formula unit): 0.0
DFT formation energy (eV per formula unit): 1.4


The following is a PBE-GGA calculation of Pm2PrHo6Tm3 after structural relaxation, from the Alexandria database.

a = 6.155 Å, b = 6.155 Å, c = 11.755 Å
α = 95.00°, β = 95.00°, γ = 119.97°
Sites, in units of the cell vectors:
Ho: 0.248 0.248 0.745
Pm: 0.667 0.333 0.000
Ho: 0.914 0.581 0.745
Pm: 0.333 0.667 0.000
Ho: 0.419 0.086 0.255
Ho: 0.086 0.419 0.255
Pr: 0.000 0.000 0.000
Tm: 0.167 0.833 0.500
Tm: 0.500 0.500 0.500
Ho: 0.581 0.914 0.745
Tm: 0.833 0.167 0.500
Ho: 0.752 0.752 0.255

Fermi-level density of states (states/eV per atom): 1.3696
Spin magnetization (μB per formula unit): 0.0
DFT formation energy (eV per formula unit): 0.3


The following is a PBE-GGA calculation of Pm5PrHo2Tm after structural relaxation, from the Alexandria database.

a = 5.689 Å, b = 10.518 Å, c = 10.625 Å
α = 90.00°, β = 90.00°, γ = 105.69°
Sites, in units of the cell vectors:
Ho: 0.114 0.227 0.734
Pm: 0.385 0.770 0.022
Pm: 0.280 0.560 0.315
Ho: 0.115 0.231 0.317
Pm: 0.017 0.034 0.021
Pm: 0.703 0.405 0.208
Pm: 0.615 0.230 0.522
Tm: 0.199 0.398 0.012
Pm: 0.520 0.040 0.241
Pm: 0.480 0.960 0.741
Pm: 0.983 0.966 0.521
Pr: 0.413 0.826 0.454
Pm: 0.297 0.595 0.708
Pm: 0.720 0.440 0.815
Ho: 0.886 0.773 0.234
Ho: 0.885 0.769 0.817
Pr: 0.587 0.174 0.954
Tm: 0.801 0.602 0.512

Fermi-level density of states (states/eV per atom): 1.5855
Spin magnetization (μB per formula unit): 0.0
DFT formation energy (eV per formula unit): 1.4


The following is a PBE-GGA calculation of PmPr2HoTm2 after structural relaxation, from the Alexandria database.

a = 5.689 Å, b = 7.017 Å, c = 9.886 Å
α = 90.00°, β = 90.00°, γ = 90.00°
Sites, in units of the cell vectors:
Pm: 0.000 0.508 0.500
Pr: 0.500 0.508 0.000
Pr: 0.000 0.758 0.829
Pr: 0.500 0.008 0.000
Pr: 0.000 0.258 0.171
Tm: 0.000 0.758 0.166
Ho: 0.500 0.257 0.664
Tm: 0.000 0.258 0.834
Pm: 0.000 0.008 0.500
Tm: 0.500 0.257 0.334
Tm: 0.500 0.757 0.666
Ho: 0.500 0.757 0.336

Fermi-level density of states (states/eV per atom): 1.5303
Spin magnetization (μB per formula unit): 0.0
DFT formation energy (eV per formula unit): 0.4


The following is a PBE-GGA calculation of PmPrHo4Tm2 after structural relaxation, from the Alexandria database.

a = 9.486 Å, b = 9.486 Å, c = 11.772 Å
α = 128.35°, β = 128.35°, γ = 88.53°
Site moments in Bohr magnetons follow the coordinates.
Sites, in units of the cell vectors:
Ho: 0.754 0.243 0.499  0.23
Pm: 0.000 0.500 0.000  0.25
Ho: 0.747 0.753 0.495  0.24
Tm: 0.500 0.500 0.000  0.20
Pr: 0.500 0.500 0.500  0.17
Tm: 0.500 0.000 0.500  0.22
Tm: 0.500 0.000 0.000  0.22
Ho: 0.246 0.757 0.501  0.23
Tm: 0.000 0.000 0.500  0.20
Pr: 0.000 0.000 0.000  0.17
Ho: 0.253 0.247 0.505  0.24
Pm: 0.000 0.500 0.500  0.25
Ho: 0.253 0.247 0.995  0.24
Ho: 0.743 0.254 0.999  0.23
Ho: 0.747 0.753 0.005  0.24
Ho: 0.257 0.746 0.001  0.23

Fermi-level density of states (states/eV per atom): 2.2152
Spin magnetization (μB per formula unit): 2.4
DFT formation energy (eV per formula unit): 3.4